! PBE Ca2ZrCo, optimized geometry; values from VASP
! - magnetization (μB/f.u.) = 0.7
! - energy relative to the elements (eV per atom) = 0.63
! - Fermi-level density of states (states/eV/f.u.) = 5.97
! - polymorph energy (0 for the lowest one) (kcal/mol of atoms) = 13.44
! - SG = No. 12
&SYSTEM
  ibrav = 0, nat = 4, ntyp = 3
/
ATOMIC_SPECIES
Ca 40.08 Ca.upf
Co 58.93 Co.upf
Zr 91.22 Zr.upf
ATOMIC_POSITIONS angstrom
Ca -0.999 -2.650 1.159
Ca 0.000 0.000 0.000
Co -3.196 -0.805 -0.530
Zr -0.058 -0.303 3.324
CELL_PARAMETERS angstrom
-4.137 -3.151 -2.695
2.139 -2.149 5.012
-2.254 1.542 1.635